1.
Material: NaYF4
Method: DFT, PBEsol
State: optimized geometry

Geometry as POSCAR:
```
NaYF4
1.0
5.956 0.000 0.000
0.000 7.015 0.000
-5.932 0.000 10.274
Na Y F
6 6 24
Cartesian
0.000 1.096 0.000
-2.966 5.919 5.137
-3.004 1.774 8.638
-0.038 5.242 3.501
2.891 2.394 5.291
5.857 4.621 0.154
-0.059 1.741 3.483
-3.025 5.275 8.620
2.913 3.502 1.791
-0.053 3.514 6.928
-0.041 0.020 6.923
2.925 6.995 1.787
-1.683 3.333 3.618
-4.649 3.682 8.755
-1.679 0.135 3.620
-4.645 6.880 8.757
0.645 3.375 2.013
-2.321 3.641 7.150
0.649 0.126 2.031
-2.317 6.890 7.168
-0.960 1.745 5.670
2.006 5.271 0.533
2.142 1.731 0.553
-0.824 5.284 5.690
0.843 3.348 4.833
-2.123 3.667 9.970
0.895 0.160 4.848
-2.071 6.855 9.985
2.247 1.753 3.172
-0.688 1.761 8.262
2.278 5.254 3.125
-0.719 5.262 8.309
1.419 1.776 6.859
4.385 5.240 1.722
4.472 1.743 1.624
1.506 5.273 6.760
```

Calculated values
Crystal system: monoclinic
Calculated total energy (eV/atom): -6.39
Formation energy from raw total energies (kcal/mol of atoms): -86.15
Fermi-level density of states (states/eV/atom): 0.000

=====

2.
Material: Na2YF
Method: DFT, PBEsol
State: optimized geometry

Geometry as POSCAR:
```
Na2YF
1.0
0.000 4.841 4.841
4.841 0.000 4.841
4.841 4.841 0.000
Na Y F
4 2 2
Cartesian
0.000 0.000 0.000
2.421 2.421 0.000
2.421 0.000 2.421
0.000 2.421 2.421
3.631 3.631 3.631
6.052 6.052 6.052
1.210 1.210 1.210
8.473 8.473 8.473
```

Calculated values
Crystal system: cubic
Calculated total energy (eV/atom): -3.66
Formation energy from raw total energies (kcal/mol of atoms): -17.75
Fermi-level density of states (states/eV/atom): 1.473

=====

3.
Material: NaYF4
Method: DFT, PBEsol
State: optimized geometry

Geometry as POSCAR:
```
NaYF4
1.0
5.956 0.000 0.000
2.966 6.218 0.000
2.965 2.263 5.796
Na Y F
3 3 12
Cartesian
0.000 0.000 0.000
3.063 4.387 2.958
8.960 7.539 4.275
3.029 0.868 1.923
6.006 5.095 4.794
6.013 3.270 1.385
1.481 1.722 0.352
4.534 6.035 3.317
3.705 3.006 1.225
6.640 7.194 4.112
5.065 5.289 0.854
5.111 3.473 3.477
6.779 3.089 5.570
6.916 5.071 2.626
5.306 1.155 1.926
8.271 5.227 5.021
7.636 2.483 2.793
7.634 4.273 0.142
```

Calculated values
Crystal system: triclinic
Calculated total energy (eV/atom): -6.39
Formation energy from raw total energies (kcal/mol of atoms): -86.15
Fermi-level density of states (states/eV/atom): 0.000

=====

4.
Material: NaYF4
Method: DFT, PBEsol
State: optimized geometry

Geometry as POSCAR:
```
NaYF4
1.0
-2.702 2.702 5.315
2.702 -2.702 5.315
2.702 2.702 -5.315
Na Y F
2 2 8
Cartesian
2.702 1.351 1.329
0.000 1.351 3.987
2.702 -1.351 3.987
0.000 4.052 1.329
1.250 0.000 0.000
4.153 0.000 0.000
1.351 2.601 -2.658
1.351 -0.101 2.658
1.250 2.702 0.000
1.452 0.000 5.315
-1.351 2.803 2.658
1.351 2.803 2.658
```

Calculated values
Crystal system: tetragonal
Calculated total energy (eV/atom): -6.38
Formation energy from raw total energies (kcal/mol of atoms): -85.91
Fermi-level density of states (states/eV/atom): 0.000